First-principles (PBE) data for crystalline Zn2InCl at its relaxed geometry, as listed in the Alexandria database.

CIF file:
```
data_Zn2InCl
_space_group_name_H-M_alt 'P 1 m 1'
_space_group_IT_number 6
_cell_length_a 3.423
_cell_length_b 4.882
_cell_length_c 5.703
_cell_angle_alpha 90.00
_cell_angle_beta 103.56
_cell_angle_gamma 90.00
loop_
_space_group_symop_operation_xyz
'x,y,z'
'x,-y,z'
loop_
_atom_site_label
_atom_site_type_symbol
_atom_site_fract_x
_atom_site_fract_y
_atom_site_fract_z
_atom_site_occupancy
Zn1 Zn 0.000 0.000 0.000 1
Zn2 Zn 0.304 0.500 0.016 1
In1 In 0.317 0.000 0.537 1
Cl1 Cl 0.750 0.500 0.449 1
```

Results
energy relative to the elements, uncorrected = -0.1149 eV/atom
energy = -1.898 eV/atom
offset from the most stable computed form = 0.34 eV per formula unit
magnetic moment = 0.00 μB/f.u.